[1]
Material: Pu2ZnRu3
Method: DFT, PBE
State: optimized geometry

Cell: 4.5621 7.2889 7.2889 Å, 65.20 93.67 93.67°
With the nearest neighbours (Å) after each atom.
Fractional coordinates of all 12 atoms:
Zn  0.2500  0.0609  0.9391  2 Zn 2.47, 3 Ru 2.63-2.64
Pu  0.8653  0.4543  0.8207  2 Ru 2.42-2.60
Ru  0.7500  0.6047  0.3953  4 Pu 2.60-2.85, 1 Zn 2.63, 2 Ru 2.81
Ru  0.9636  0.9033  0.7100  1 Pu 2.42, 1 Zn 2.64
Ru  0.0364  0.0967  0.2900  1 Pu 2.42, 1 Zn 2.64
Ru  0.5364  0.2900  0.0967  1 Pu 2.42, 1 Zn 2.64
Pu  0.6347  0.1793  0.5457  2 Ru 2.42-2.60
Ru  0.2500  0.3953  0.6047  4 Pu 2.60-2.85, 1 Zn 2.63, 2 Ru 2.81
Zn  0.7500  0.9391  0.0609  2 Zn 2.47, 3 Ru 2.63-2.64
Ru  0.4636  0.7100  0.9033  1 Pu 2.42, 1 Zn 2.64
Pu  0.1347  0.5457  0.1793  2 Ru 2.42-2.60
Pu  0.3653  0.8207  0.4543  2 Ru 2.42-2.60

Calculated values
The formation energy is -0.008 eV/atom. Its magnetization is 15.85 μB per cell. For the total energy, the calculation gives -0.7082 Ry/atom. For the energy above the lowest structure with this stoichiometry, the calculation gives 0.148 eV/atom. The value obtained for the density of states at the Fermi level is 11.39 states/eV/f.u.



[2]
Material: Pu2Zn3Ru2
Method: DFT, PBE
State: optimized geometry

Cell: 4.2942 5.1905 6.7446 Å, 109.05 90.00 114.43°
With the nearest neighbours (Å) after each atom.
Fractional coordinates of all 7 atoms:
Ru  0.8589  0.7178  0.8034  5 Zn 2.62-2.72, 2 Pu 2.72-2.83
Pu  0.1391  0.2782  0.7755  4 Ru 2.72-2.95
Ru  0.1411  0.2822  0.1966  5 Zn 2.62-2.72, 2 Pu 2.72-2.83
Zn  0.6247  0.2493  0.4361  3 Ru 2.67-2.72, 2 Zn 2.75-2.78
Pu  0.8609  0.7218  0.2245  4 Ru 2.72-2.95
Zn  0.5000  0.0000  0.0000  4 Ru 2.62, 2 Zn 2.75
Zn  0.3753  0.7507  0.5639  3 Ru 2.67-2.72, 2 Zn 2.75-2.78

Calculated values
The formation energy is -0.183 eV/atom. Its magnetization is 9.55 μB per cell. For the total energy, the calculation gives -0.5493 Ry/atom. The value obtained for the density of states at the Fermi level is 13.35 states/eV/f.u.



[3]
Material: Pu5ZnRu6
Method: DFT, PBE
State: optimized geometry

Cell: 4.6207 6.5798 8.1859 Å, 66.27 76.49 89.96°
With the nearest neighbours (Å) after each atom.
Fractional coordinates of all 12 atoms:
Pu  0.6375  0.1540  0.6926  6 Ru 2.77-2.88
Pu  0.3503  0.3232  0.3531  8 Ru 2.84-3.01, 1 Pu 3.16
Ru  0.4997  0.2605  0.9999  6 Pu 2.79-3.01, 2 Zn 2.88
Pu  0.0000  0.5000  0.0000  8 Ru 2.79-2.82
Pu  0.6497  0.6768  0.6469  8 Ru 2.84-3.01, 1 Pu 3.16
Ru  0.8737  0.0893  0.3138  6 Pu 2.77-2.93, 1 Zn 2.79
Ru  0.5003  0.7395  0.0001  6 Pu 2.79-3.01, 2 Zn 2.88
Ru  0.1263  0.9107  0.6862  6 Pu 2.77-2.93, 1 Zn 2.79
Ru  0.1263  0.4033  0.6860  6 Pu 2.77-2.94, 1 Zn 2.79
Zn  0.0000  0.0000  0.0000  8 Ru 2.79-2.88
Ru  0.8737  0.5967  0.3140  6 Pu 2.77-2.94, 1 Zn 2.79
Pu  0.3625  0.8460  0.3074  6 Ru 2.77-2.88

Calculated values
The formation energy is -0.140 eV/atom. Its magnetization is 20.98 μB per cell. For the total energy, the calculation gives -0.7979 Ry/atom. The value obtained for the density of states at the Fermi level is 26.44 states/eV/f.u.



[4]
Material: Pu12ZnRu6
Method: DFT, PBE
State: optimized geometry

Cell: 7.7905 7.7905 7.7905 Å, 102.07 102.07 102.07°
With the nearest neighbours (Å) after each atom.
Fractional coordinates of all 19 atoms:
Pu  0.8176  0.5461  0.5461  4 Ru 3.25-3.63, 9 Pu 3.26-3.40
Ru  0.1952  0.1952  0.7919  4 Pu 2.55-2.84
Pu  0.8791  0.5000  0.1209  4 Ru 2.55-2.84
Pu  0.1824  0.4539  0.4539  4 Ru 3.25-3.63, 9 Pu 3.26-3.40
Pu  0.5461  0.8176  0.5461  4 Ru 3.25-3.63, 9 Pu 3.26-3.40
Ru  0.7919  0.1952  0.1952  4 Pu 2.55-2.84
Ru  0.8048  0.2081  0.8048  4 Pu 2.55-2.84
Pu  0.4539  0.4539  0.1824  4 Ru 3.25-3.63, 9 Pu 3.26-3.40
Pu  0.5000  0.8791  0.1209  4 Ru 2.55-2.84
Pu  0.1209  0.5000  0.8791  4 Ru 2.55-2.84
Ru  0.2081  0.8048  0.8048  4 Pu 2.55-2.84
Pu  0.1209  0.8791  0.5000  4 Ru 2.55-2.84
Pu  0.5461  0.5461  0.8176  4 Ru 3.25-3.63, 9 Pu 3.26-3.40
Pu  0.5000  0.1209  0.8791  4 Ru 2.55-2.84
Zn  0.0000  0.0000  0.0000  6 Ru 2.89
Pu  0.8791  0.1209  0.5000  4 Ru 2.55-2.84
Ru  0.8048  0.8048  0.2081  4 Pu 2.55-2.84
Pu  0.4539  0.1824  0.4539  4 Ru 3.25-3.63, 9 Pu 3.26-3.40
Ru  0.1952  0.7919  0.1952  4 Pu 2.55-2.84

Calculated values
The formation energy is 0.206 eV/atom. Its magnetization is 63.03 μB per cell. For the total energy, the calculation gives -0.8704 Ry/atom. The value obtained for the density of states at the Fermi level is 66.19 states/eV/f.u.



[5]
Material: Pu4ZnRu2
Method: DFT, PBE
State: optimized geometry

Cell: 7.3803 7.3803 7.3803 Å, 109.17 110.08 109.17°
With the nearest neighbours (Å) after each atom.
Fractional coordinates of all 14 atoms:
Zn  0.0000  0.0000  0.0000  8 Pu 2.95-3.12
Pu  0.7543  0.2430  0.8516  3 Ru 2.77-2.93, 1 Zn 2.95
Pu  0.4887  0.0973  0.2457  3 Ru 2.77-2.93, 1 Zn 2.95
Ru  0.2198  0.5948  0.1250  6 Pu 2.77-2.93
Ru  0.8750  0.0948  0.4698  6 Pu 2.77-2.93
Pu  0.6016  0.7430  0.0043  3 Ru 2.77-2.93, 1 Zn 2.95
Pu  0.2613  0.2570  0.8587  3 Ru 2.77-2.93, 1 Zn 2.95
Pu  0.1413  0.4027  0.3984  3 Ru 2.77-2.93, 1 Zn 2.95
Zn  0.7500  0.5000  0.2500  8 Pu 2.95-3.12
Pu  0.1484  0.9027  0.3913  3 Ru 2.77-2.93, 1 Zn 2.95
Ru  0.3750  0.9052  0.7802  6 Pu 2.77-2.93
Pu  0.6087  0.7570  0.5113  3 Ru 2.77-2.93, 1 Zn 2.95
Pu  0.9957  0.5973  0.7387  3 Ru 2.77-2.93, 1 Zn 2.95
Ru  0.5302  0.4052  0.6250  6 Pu 2.77-2.93

Calculated values
The formation energy is -0.030 eV/atom. Its magnetization is 41.23 μB per cell. For the total energy, the calculation gives -0.8123 Ry/atom. The value obtained for the density of states at the Fermi level is 23.25 states/eV/f.u.



[6]
Material: Pu2ZnRu3
Method: DFT, PBE
State: optimized geometry

Cell: 5.4529 5.4529 5.1848 Å, 89.85 121.87 120.03°
With the nearest neighbours (Å) after each atom.
Fractional coordinates of all 6 atoms:
Ru  0.5000  0.5000  0.5000  2 Zn 2.59, 4 Ru 2.73
Pu  0.2487  0.6246  0.8733  9 Ru 3.02-3.13, 4 Pu 3.07-3.32, 3 Zn 3.19
Pu  0.7513  0.3754  0.1267  9 Ru 3.02-3.13, 4 Pu 3.07-3.32, 3 Zn 3.19
Ru  0.0000  0.0000  0.5000  2 Zn 2.59, 4 Ru 2.73
Ru  0.5000  0.0000  0.5000  2 Zn 2.59, 4 Ru 2.73
Zn  0.0000  0.0000  0.0000  6 Ru 2.59

Calculated values
The formation energy is -0.157 eV/atom. Its magnetization is 8.46 μB per cell. For the total energy, the calculation gives -0.7191 Ry/atom. For the energy above the lowest structure with this stoichiometry, the calculation gives 0.000 eV/atom. The value obtained for the density of states at the Fermi level is 17.03 states/eV/f.u.



[7]
Material: PuZrRu
Method: DFT, PBE
State: optimized geometry

Cell: 3.2873 3.2873 6.1872 Å, 105.41 105.41 90.00°
With the nearest neighbours (Å) after each atom.
Fractional coordinates of all 3 atoms:
Pu  0.0147  0.0147  0.0293  4 Ru 2.97, 4 Pu 3.29, 4 Zr 3.31
Ru  0.6757  0.6757  0.3514  4 Zr 2.79, 4 Pu 2.97
Zr  0.3097  0.3097  0.6193  4 Ru 2.79

Calculated values
The formation energy is -0.129 eV/atom. Its magnetization is 5.58 μB per cell. For the total energy, the calculation gives -0.7973 Ry/atom. For the energy above the lowest structure with this stoichiometry, the calculation gives 0.000 eV/atom. The value obtained for the density of states at the Fermi level is 7.27 states/eV/f.u.



[8]
Material: PuZrRu2
Method: DFT, PBE
State: optimized geometry

Cell: 3.2964 4.6729 9.6025 Å, 90.00 90.00 90.00°
With the nearest neighbours (Å) after each atom.
Fractional coordinates of all 8 atoms:
Ru  0.0000  0.7500  0.3628  2 Zr 2.86, 6 Pu 2.86-3.02
Zr  0.5000  0.2500  0.8801  8 Ru 2.81-2.86
Ru  0.0000  0.7500  0.8830  6 Zr 2.81-2.86, 2 Pu 2.97
Ru  0.0000  0.2500  0.6372  2 Zr 2.86, 6 Pu 2.86-3.02
Zr  0.5000  0.7500  0.1199  8 Ru 2.81-2.86
Pu  0.5000  0.2500  0.3739  8 Ru 2.86-3.02
Ru  0.0000  0.2500  0.1170  6 Zr 2.81-2.86, 2 Pu 2.97
Pu  0.5000  0.7500  0.6261  8 Ru 2.86-3.02

Calculated values
The formation energy is -0.350 eV/atom. Its magnetization is 9.07 μB per cell. For the total energy, the calculation gives -0.7870 Ry/atom. The value obtained for the density of states at the Fermi level is 6.57 states/eV/f.u.